# MgTlOs2 PBE-GGA relaxed
data_MgTlOs2
_symmetry_space_group_name_H-M 'F -4 3 m'
_symmetry_Int_Tables_number 216
_symmetry_space_group_name_Hall 'F -4 2 3'
_cell_length_a 6.457
_cell_length_b 6.457
_cell_length_c 6.457
_cell_angle_alpha 90.00
_cell_angle_beta 90.00
_cell_angle_gamma 90.00
loop_
_atom_site_label
_atom_site_type_symbol
_atom_site_fract_x
_atom_site_fract_y
_atom_site_fract_z
_atom_site_occupancy
Mg1 Mg 0.000 0.000 0.000 1
Tl1 Tl 0.250 0.250 0.750 1
Os1 Os 0.000 0.000 0.500 1
Os2 Os 0.250 0.250 0.250 1
# Calculated formation energy (eV/f.u.): 3.00
# Magnetic moment (μB per cell): 2.63

=====

# Nd3ThP4 PBE-GGA relaxed
data_Nd3ThP4
_symmetry_space_group_name_H-M 'C m m m'
_symmetry_Int_Tables_number 65
_symmetry_space_group_name_Hall '-C 2 2'
_cell_length_a 8.322
_cell_length_b 11.759
_cell_length_c 4.164
_cell_angle_alpha 90.00
_cell_angle_beta 90.00
_cell_angle_gamma 90.00
loop_
_atom_site_label
_atom_site_type_symbol
_atom_site_fract_x
_atom_site_fract_y
_atom_site_fract_z
_atom_site_occupancy
Nd1 Nd 0.000 0.000 0.000 1
Nd2 Nd 0.250 0.250 0.500 1
Th1 Th 0.000 0.500 0.000 1
P1 P 0.000 0.252 0.000 1
P2 P 0.247 0.500 0.500 1
# Calculated formation energy (eV/f.u.): -12.58
# Magnetic moment (μB per cell): 0.00

=====

# Pm4Mg3Hg2 PBE-GGA relaxed
data_Pm4Mg3Hg2
_symmetry_space_group_name_H-M 'P -3 m 1'
_symmetry_Int_Tables_number 164
_symmetry_space_group_name_Hall '-P 3 2"'
_cell_length_a 5.3443
_cell_length_b 5.3443
_cell_length_c 10.1330
_cell_angle_alpha 90.00
_cell_angle_beta 90.00
_cell_angle_gamma 120.00
loop_
_atom_site_label
_atom_site_type_symbol
_atom_site_fract_x
_atom_site_fract_y
_atom_site_fract_z
_atom_site_occupancy
Pm1 Pm 0.0000 0.0000 0.1693 1
Pm2 Pm 0.3333 0.6667 0.3693 1
Mg1 Mg 0.0000 0.0000 0.5000 1
Mg2 Mg 0.3333 0.6667 0.9917 1
Hg1 Hg 0.3333 0.6667 0.6819 1
# Calculated formation energy (eV/f.u.): -2.18
# Magnetic moment (μB per cell): 0.00

=====

# Ce3HAu PBE-GGA relaxed
data_Ce3HAu
_symmetry_space_group_name_H-M 'P m -3 m'
_symmetry_Int_Tables_number 221
_symmetry_space_group_name_Hall '-P 4 2 3'
_cell_length_a 4.780
_cell_length_b 4.780
_cell_length_c 4.780
_cell_angle_alpha 90.00
_cell_angle_beta 90.00
_cell_angle_gamma 90.00
loop_
_atom_site_label
_atom_site_type_symbol
_atom_site_fract_x
_atom_site_fract_y
_atom_site_fract_z
_atom_site_occupancy
Ce1 Ce 0.000 0.000 0.500 1
H1 H 0.000 0.000 0.000 1
Au1 Au 0.500 0.500 0.500 1
# Total DFT energy (no corrections) (eV/f.u.): -25.6
# Magnetic moment (μB per cell): 3.48

=====

# PrAgO3 PBE-GGA relaxed
data_PrAgO3
_symmetry_space_group_name_H-M 'P b c m'
_symmetry_Int_Tables_number 57
_symmetry_space_group_name_Hall '-P 2c 2b'
_cell_length_a 4.016
_cell_length_b 13.132
_cell_length_c 5.728
_cell_angle_alpha 90.00
_cell_angle_beta 90.00
_cell_angle_gamma 90.00
loop_
_atom_site_label
_atom_site_type_symbol
_atom_site_fract_x
_atom_site_fract_y
_atom_site_fract_z
_atom_site_occupancy
Pr1 Pr 0.240 0.080 0.250 1
Ag1 Ag 0.423 0.672 0.750 1
O1 O 0.244 0.577 0.504 1
O2 O 0.321 0.250 0.000 1
# Uncorrected formation energy (eV per atom): -1.72
# Magnetic moment (μB per cell): 0.00

=====

# KBaTa2 PBE-GGA relaxed
data_KBaTa2
_symmetry_space_group_name_H-M 'F -4 3 m'
_symmetry_Int_Tables_number 216
_symmetry_space_group_name_Hall 'F -4 2 3'
_cell_length_a 7.482
_cell_length_b 7.482
_cell_length_c 7.482
_cell_angle_alpha 90.00
_cell_angle_beta 90.00
_cell_angle_gamma 90.00
loop_
_atom_site_label
_atom_site_type_symbol
_atom_site_fract_x
_atom_site_fract_y
_atom_site_fract_z
_atom_site_occupancy
K1 K 0.000 0.000 0.000 1
Ba1 Ba 0.250 0.250 0.750 1
Ta1 Ta 0.000 0.000 0.500 1
Ta2 Ta 0.250 0.250 0.250 1
# Calculated formation energy (eV/f.u.): 6.15
# Magnetic moment (μB per cell): 0.00

=====

# ReNiS2 PBE-GGA relaxed
data_ReNiS2
_symmetry_space_group_name_H-M 'I -4 2 d'
_symmetry_Int_Tables_number 122
_symmetry_space_group_name_Hall 'I -4 2bw'
_cell_length_a 5.187
_cell_length_b 5.187
_cell_length_c 10.225
_cell_angle_alpha 90.00
_cell_angle_beta 90.00
_cell_angle_gamma 90.00
loop_
_atom_site_label
_atom_site_type_symbol
_atom_site_fract_x
_atom_site_fract_y
_atom_site_fract_z
_atom_site_occupancy
Re1 Re 0.000 0.000 0.000 1
Ni1 Ni 0.000 0.000 0.500 1
S1 S 0.240 0.250 0.625 1
# Uncorrected formation energy (eV per atom): -0.08
# Magnetic moment (μB per cell): 0.00

=====

# InSnOs2W PBE-GGA relaxed
data_InSnOs2W
_symmetry_space_group_name_H-M 'P 4/m m m'
_symmetry_Int_Tables_number 123
_symmetry_space_group_name_Hall '-P 4 2'
_cell_length_a 4.977
_cell_length_b 4.977
_cell_length_c 4.954
_cell_angle_alpha 90.00
_cell_angle_beta 90.00
_cell_angle_gamma 90.00
loop_
_atom_site_label
_atom_site_type_symbol
_atom_site_fract_x
_atom_site_fract_y
_atom_site_fract_z
_atom_site_occupancy
In1 In 0.000 0.000 0.000 1
Sn1 Sn 0.500 0.500 0.500 1
Os1 Os 0.000 0.500 0.500 1
W1 W 0.500 0.500 0.000 1
# Calculated formation energy (eV/f.u.): 12.27
# Magnetic moment (μB per cell): 2.40